DFT (PBE) results for an optimized crystal structure of LiAcPtO3.

Results
Formation energy from raw total energies, eV per atom: -1.774

Cell: 6.1654 6.1654 5.7284 Å, 90.00 90.00 129.27°
Fractional coordinates of all 12 atoms:
Li: 0.0775 0.9225 0.7500
Li: 0.9225 0.0775 0.2500
Ac: 0.1945 0.8055 0.2500
Ac: 0.8055 0.1945 0.7500
Pt: 0.4833 0.5167 0.2500
Pt: 0.5167 0.4833 0.7500
O: 0.2284 0.2284 0.0000
O: 0.2284 0.2284 0.5000
O: 0.2435 0.7565 0.7500
O: 0.7565 0.2435 0.2500
O: 0.7716 0.7716 0.0000
O: 0.7716 0.7716 0.5000

---

DFT (PBE) results for an optimized crystal structure of SiPb2O4.

Results
Formation energy from raw total energies, eV per atom: -1.860
Polymorph energy (0 for the lowest one), meV/atom: 0

Cell: 6.0115 6.0115 7.4775 Å, 105.51 105.51 109.35°
Fractional coordinates of all 14 atoms:
Si: 0.1259 0.8741 0.7500
Si: 0.8741 0.1259 0.2500
Pb: 0.1925 0.8075 0.2500
Pb: 0.4439 0.5561 0.7500
Pb: 0.5561 0.4439 0.2500
Pb: 0.8075 0.1925 0.7500
O: 0.1620 0.6979 0.8834
O: 0.1821 0.2221 0.3852
O: 0.2221 0.1821 0.8852
O: 0.3021 0.8380 0.6166
O: 0.6979 0.1620 0.3834
O: 0.7779 0.8179 0.1148
O: 0.8179 0.7779 0.6148
O: 0.8380 0.3021 0.1166